Computed, not measured: a geometry-optimized ErLuCSe structure at the GGA-PBE level of DFT.

Cell lengths 3.6924, 3.6924, 13.0308 Å; angles 90.00, 90.00, 120.00 degrees
With the nearest neighbours (Å) after each atom.
Space group P6_3mc (No. 186)
Unique sites:
Er 0.3333 0.6667 0.0000 x2  3 C 2.50
Lu 0.3333 0.6667 0.6985 x2  3 C 2.49
C 0.0000 0.0000 0.1005 x2  3 Lu 2.49, 3 Er 2.50
Se 0.3333 0.6667 0.3471 x2  3 Lu 2.88, 3 Er 2.92

---

Computed, not measured: a geometry-optimized ErLu3C2Se2 structure at the GGA-PBE level of DFT.

Cell lengths 3.6807, 3.6807, 12.9829 Å; angles 90.00, 90.00, 120.00 degrees
With the nearest neighbours (Å) after each atom.
Space group P3m1 (No. 156)
Unique sites:
Er 0.0000 0.0000 0.0000 x1  3 C 2.50
Lu 0.0000 0.0000 0.6972 x1  3 C 2.48
Lu 0.6667 0.3333 0.1996 x1  3 C 2.48
Lu 0.6667 0.3333 0.5005 x1  3 C 2.48
C 0.3333 0.6667 0.1011 x1  3 Lu 2.48, 3 Er 2.50
C 0.3333 0.6667 0.5988 x1  6 Lu 2.48
Se 0.0000 0.0000 0.3496 x1  6 Lu 2.88-2.89
Se 0.6667 0.3333 0.8464 x1  3 Lu 2.88, 3 Er 2.91

---

Computed, not measured: a geometry-optimized ErLuCSe structure at the GGA-PBE level of DFT.

Cell lengths 3.6947, 3.6947, 13.0342 Å; angles 90.00, 90.00, 120.00 degrees
With the nearest neighbours (Å) after each atom.
Space group P-6m2 (No. 187)
Unique sites:
Er 0.0000 0.0000 0.1522 x2  3 C 2.51
Lu 0.6667 0.3333 0.3507 x2  3 C 2.48
C 0.3333 0.6667 0.2530 x2  3 Lu 2.48, 3 Er 2.51
Se 0.0000 0.0000 0.5000 x1  6 Lu 2.89
Se 0.6667 0.3333 0.0000 x1  6 Er 2.91

---

Magnetic moment? In order: 0.00, 0.00, 0.00 μB per formula unit.
DFT total energy? In order: -6.636, -6.637, -6.636 eV/atom.